#w
Here is an optimized crystal structure of TaTl5 from Alexandria. Energies are from PBE.

extended XYZ file:
```
6
Lattice="-5.570 0.434 -1.506 -4.396 -1.960 -3.211 -4.513 -6.466 5.969" Properties=species:S:1:pos:R:3 pbc="T T T"
Tl -12.126 -5.137 -1.135
Tl -6.581 -2.328 -1.262
Tl -7.602 -6.726 4.209
Tl -9.919 -5.657 1.113
Tl -4.311 -2.881 1.077
Ta -4.998 -6.380 5.515
```

## Properties
ρ = 11.82 g/cm3

=====

#x
Here is an optimized crystal structure of TaTl5 from Alexandria. Energies are from PBE.

extended XYZ file:
```
6
Lattice="-9.663 3.044 -0.154 8.286 -5.779 -0.780 -0.525 -1.418 4.928" Properties=species:S:1:pos:R:3 pbc="T T T"
Tl -5.721 0.268 2.163
Tl 6.220 -5.602 1.747
Tl -0.291 -2.401 1.974
Tl 1.871 -2.626 -0.556
Tl -3.374 -0.047 -0.373
Ta -9.607 3.017 -0.156
```

## Properties
ρ = 12.10 g/cm3

=====

Stability order, top to bottom: #w, #x

=====

#w
Here is an optimized crystal structure of TaTlV3 from Alexandria. Energies are from PBE.

extended XYZ file:
```
5
Lattice="4.872 0.000 0.000 0.000 4.872 0.000 0.000 0.000 4.872" Properties=species:S:1:pos:R:3 pbc="T T T"
Ta 2.436 2.436 2.436
V 0.000 2.436 0.000
V 0.000 0.000 2.436
V 2.436 0.000 0.000
Tl 0.000 0.000 0.000
```

## Properties
ρ = 7.73 g/cm3

=====

#x
Here is an optimized crystal structure of TaTlV3 from Alexandria. Energies are from PBE.

extended XYZ file:
```
5
Lattice="-1.859 1.820 3.876 1.511 -3.675 2.451 4.007 2.231 0.874" Properties=species:S:1:pos:R:3 pbc="T T T"
Tl 1.830 0.188 3.600
V 2.003 1.115 0.437
V 0.756 -1.837 1.225
V -0.929 0.910 1.938
Ta 0.000 0.000 0.000
```

## Properties
ρ = 8.78 g/cm3

=====

Stability order, top to bottom: #x, #w

=====

#w
Here is an optimized crystal structure of Ta2TlV from Alexandria. Energies are from PBE.

extended XYZ file:
```
4
Lattice="-1.445 2.090 3.931 -2.950 3.627 -0.226 -4.433 -0.496 1.421" Properties=species:S:1:pos:R:3 pbc="T T T"
Tl -4.414 2.611 2.563
Ta -6.621 3.916 3.845
Ta -2.207 1.305 1.282
V 0.000 0.000 0.000
```

## Properties
ρ = 14.13 g/cm3

=====

#x
Here is an optimized crystal structure of Ta2TlV from Alexandria. Energies are from PBE.

extended XYZ file:
```
8
Lattice="3.952 0.000 0.000 0.000 3.952 0.000 1.976 1.976 10.111" Properties=species:S:1:pos:R:3 pbc="T T T"
Ta 1.025 2.964 2.528
Ta 2.927 0.988 2.528
Ta 4.940 4.903 7.583
Ta 2.964 3.001 7.583
Tl 3.952 1.976 5.056
Tl 0.000 0.000 0.000
V 1.976 1.976 0.000
V 1.976 3.952 5.056
```

## Properties
ρ = 12.98 g/cm3

=====

Stability order, top to bottom: #w, #x

=====

#w
Here is an optimized crystal structure of Ta2TlW from Alexandria. Energies are from PBE.

extended XYZ file:
```
4
Lattice="-2.076 1.374 -2.370 -1.830 -2.908 -0.083 -3.769 2.240 4.598" Properties=species:S:1:pos:R:3 pbc="T T T"
Ta -3.749 2.228 4.573
Ta -2.801 -0.264 -0.193
W -4.879 0.971 2.343
Tl -1.900 1.129 2.318
```

## Properties
ρ = 16.60 g/cm3

=====

#x
Here is an optimized crystal structure of Ta2TlW from Alexandria. Energies are from PBE.

extended XYZ file:
```
4
Lattice="-2.593 0.302 4.437 -3.722 -1.956 2.971 2.992 -3.302 2.782" Properties=species:S:1:pos:R:3 pbc="T T T"
Tl -1.666 -2.482 5.105
Ta -6.302 -1.666 7.418
Ta -2.465 -3.736 7.652
W -0.867 -1.203 2.520
```

## Properties
ρ = 16.61 g/cm3

=====

Stability order, top to bottom: #w, #x

=====

#w
Here is an optimized crystal structure of Ta2TlW from Alexandria. Energies are from PBE.

extended XYZ file:
```
4
Lattice="10.202 -0.005 -0.003 9.773 2.928 -0.003 9.773 1.430 2.555" Properties=species:S:1:pos:R:3 pbc="T T T"
Ta 0.033 0.005 0.003
Ta 7.488 1.096 0.642
Tl 14.845 2.172 1.272
W 22.256 3.257 1.907
```

## Properties
ρ = 16.28 g/cm3

=====

#x
Here is an optimized crystal structure of Ta2TlW from Alexandria. Energies are from PBE.

extended XYZ file:
```
4
Lattice="2.949 0.005 0.000 -1.085 2.742 0.000 0.000 0.000 9.413" Properties=species:S:1:pos:R:3 pbc="T T T"
Tl 0.000 0.000 4.755
W 0.932 1.373 7.222
Ta 0.000 0.000 9.340
Ta 0.932 1.373 2.215
```

## Properties
ρ = 16.36 g/cm3

=====

#y
Here is an optimized crystal structure of Ta2TlW from Alexandria. Energies are from PBE.

extended XYZ file:
```
4
Lattice="-1.376 -0.503 -2.486 -3.704 -0.898 2.232 -1.561 5.714 -0.292" Properties=species:S:1:pos:R:3 pbc="T T T"
Ta -2.909 0.650 -0.196
Ta -1.552 5.683 -0.290
Tl -0.779 2.851 -0.146
W -3.742 3.699 -0.352
```

## Properties
ρ = 16.48 g/cm3

=====

#z
Here is an optimized crystal structure of Ta2TlW from Alexandria. Energies are from PBE.

extended XYZ file:
```
8
Lattice="-0.462 -7.643 -0.260 4.707 -0.489 6.025 -0.103 -3.991 4.627" Properties=species:S:1:pos:R:3 pbc="T T T"
Ta 2.841 -2.551 4.880
Ta 1.695 -6.061 5.863
Ta 3.457 -10.090 8.284
Ta 0.292 -5.543 1.758
W 2.123 -4.066 2.883
W 3.363 -4.273 6.767
Tl 0.000 0.000 0.000
Tl 0.779 -7.850 3.625
```

## Properties
ρ = 15.01 g/cm3

=====

Stability order, top to bottom: #x, #y, #w, #z

=====

#w
Here is an optimized crystal structure of Ta2TlW from Alexandria. Energies are from PBE.

extended XYZ file:
```
4
Lattice="-3.912 1.866 -1.865 -1.717 -1.689 -4.058 -4.019 -2.473 -0.014" Properties=species:S:1:pos:R:3 pbc="T T T"
Tl -4.824 -1.148 -2.968
Ta -7.236 -1.722 -4.452
Ta 0.000 0.000 0.000
W -2.412 -0.574 -1.484
```

## Properties
ρ = 16.77 g/cm3

=====

#x
Here is an optimized crystal structure of Ta2TlW from Alexandria. Energies are from PBE.

extended XYZ file:
```
4
Lattice="-1.685 2.129 0.855 -2.114 -1.028 -1.606 -2.946 -5.231 7.224" Properties=species:S:1:pos:R:3 pbc="T T T"
Ta -2.938 -5.217 7.205
Ta -2.612 -0.715 1.372
W -4.129 -3.409 5.093
Tl -1.484 -2.635 3.639
```

## Properties
ρ = 16.36 g/cm3

=====

Stability order, top to bottom: #x, #w

=====

#w
Here is an optimized crystal structure of Ta2TlW from Alexandria. Energies are from PBE.

extended XYZ file:
```
4
Lattice="2.972 0.004 0.000 -1.137 2.746 0.000 0.000 0.000 9.361" Properties=species:S:1:pos:R:3 pbc="T T T"
Tl 0.918 1.375 2.340
W 0.918 1.375 7.021
Ta 0.000 0.000 4.893
Ta 0.000 0.000 9.149
```

## Properties
ρ = 16.30 g/cm3

=====

#x
Here is an optimized crystal structure of Ta2TlW from Alexandria. Energies are from PBE.

extended XYZ file:
```
4
Lattice="-4.343 1.851 0.388 -1.079 -2.212 -1.524 -1.120 -3.506 4.181" Properties=species:S:1:pos:R:3 pbc="T T T"
Tl -1.191 -3.039 1.164
W -3.798 -3.354 2.404
Ta -2.701 -0.448 0.823
Ta -2.152 -5.603 2.639
```

## Properties
ρ = 16.52 g/cm3

=====

Stability order, top to bottom: #w, #x

=====

#w
Here is an optimized crystal structure of Ta2TlW from Alexandria. Energies are from PBE.

extended XYZ file:
```
4
Lattice="5.481 -0.003 -0.002 2.422 4.916 0.002 -3.501 -3.181 2.768" Properties=species:S:1:pos:R:3 pbc="T T T"
Ta 0.072 0.045 0.000
Ta 3.050 -0.312 1.383
Tl 3.910 2.430 0.000
W 1.322 2.025 1.385
```

## Properties
ρ = 16.69 g/cm3

=====

#x
Here is an optimized crystal structure of Ta2TlW from Alexandria. Energies are from PBE.

extended XYZ file:
```
4
Lattice="2.857 0.000 0.000 0.000 2.857 0.000 0.000 0.000 9.270" Properties=species:S:1:pos:R:3 pbc="T T T"
W 1.428 1.428 6.952
Ta 0.000 0.000 9.173
Ta 0.000 0.000 4.732
Tl 1.428 1.428 2.317
```

## Properties
ρ = 16.46 g/cm3

=====

Stability order, top to bottom: #w, #x